Entry 1:
TiNbHRu2 (PBE, optimized geometry); crystal system = tetragonal; E above lowest polymorph = 4.0 kJ per mole of atoms; Fermi-level density of states = 4.53 states/eV/f.u.
1.0
4.089 0.000 0.000
0.000 4.089 0.000
0.000 0.000 3.851
Ru Nb H Ti
2 1 1 1
Cartesian
0.000 2.044 0.000
2.044 0.000 0.000
0.000 0.000 1.925
0.000 0.000 0.000
2.044 2.044 1.925

Entry 2:
Ti2NbHRu (PBE, optimized geometry); crystal system = tetragonal; E above lowest polymorph = 0.3 kJ per mole of atoms; Fermi-level density of states = 4.60 states/eV/f.u.
1.0
4.369 0.000 0.000
0.000 4.369 0.000
0.000 0.000 3.515
Ru Nb H Ti
1 1 1 2
Cartesian
2.185 2.185 1.758
0.000 0.000 1.758
0.000 0.000 0.000
0.000 2.185 0.000
2.185 0.000 0.000

Entry 3:
TiNb2HRu (PBE, optimized geometry); crystal system = tetragonal; E above lowest polymorph = 0.0 kJ per mole of atoms; Fermi-level density of states = 4.39 states/eV/f.u.
1.0
-2.660 2.797 -0.626
-2.805 -2.364 1.354
0.690 1.602 4.226
Ru Nb H Ti
1 2 1 1
Cartesian
-2.387 1.017 2.477
-1.402 -1.182 0.677
-1.330 1.399 -0.313
0.000 0.000 0.000
0.345 0.801 2.113